Entry from Alexandria: a crystal of ZrFeP2 relaxed with PBEsol (meta-GGA SCAN).

a b c (Å): 3.257 3.257 5.384
angles (deg): 90.00 90.00 90.00
Fractional coordinates of all 4 atoms:
Zr1 0.000 0.000 0.000
Fe1 0.500 0.500 0.361
P1 0.000 0.000 0.498
P2 0.500 0.500 0.789

Crystal system ... tetragonal
Energy above the most stable polymorph in this dataset ... 0.0 kJ/mol of atoms
Symmetry ... P4mm, No. 99
Total magnetic moment ... 1.73 μB/f.u.
Fermi-level density of states ... 1.5 states/eV/f.u.
Calculated volume ... 14.3 A^3/atom